This record from Alexandria describes a geometry-optimized CaTmBiPd structure. The functional is PBE-GGA.

## Properties
Formation energy: -683 meV per atom
Total DFT energy (no corrections): -4.5697 eV per atom
Calculated volume: 100.8 Å³ per cell
Space-group type: F-43m (216)

Cell: 5.223 5.223 5.223 Å, 60.00 60.00 60.00°
Fractional coordinates of all 4 atoms:
Ca: 0.000 0.000 0.000
Tm: 0.500 0.500 0.500
Bi: 0.750 0.750 0.750
Pd: 0.250 0.250 0.250